{
  "formula": "LaIrAu2",
  "functional": "PBE",
  "state": "relaxed",
  "crystal_system": "orthorhombic",
  "space_group": "No. 71",
  "formation_enthalpy_0k_mev_per_atom": -426,
  "volume_a3_per_atom": 20.33,
  "e_above_lowest_polymorph_mev_per_atom": 0,
  "lattice": [[4.127, 0.000, 0.000], [0.000, 4.144, 0.000], [0.000, 0.000, 9.511]],
  "species": ["La", "La", "Ir", "Ir", "Au", "Au", "Au", "Au"],
  "fractional_positions": [[0.000, 0.000, 0.000], [0.500, 0.500, 0.500], [0.000, 0.000, 0.500], [0.500, 0.500, 0.000], [0.000, 0.500, 0.249], [0.000, 0.500, 0.751], [0.500, 0.000, 0.251], [0.500, 0.000, 0.749]]
}